Compound: ScReSe2
Source: the Alexandria database
Functional: PBE
Structure: relaxed

The structure in POSCAR format:
```
ScReSe2
1.0
3.343 0.000 0.000
0.000 5.751 -0.018
0.000 3.893 3.738
Se Re Sc
2 1 1
Direct
0.000 0.000 0.000 Se
0.500 0.500 0.000 Se
0.500 0.500 0.500 Re
0.000 0.000 0.500 Sc
```

Its density of states at the Fermi level is 0.9191 states/eV per atom. The calculation puts the energy above the most stable polymorph in this dataset at 238 meV/atom. For the energy relative to the elements, uncorrected, the calculation gives -251 meV per atom.